No. 1
# TaFeSi2

Crystalline TaFeSi2 at its relaxed geometry (PBE, Alexandria).

a = 4.9442 Å, b = 4.9442 Å, c = 4.9442 Å
α = 138.99°, β = 135.45°, γ = 62.14°
Last column: nearest neighbours and their distance in Å.
Fractional coordinates of all 4 atoms:
Ta 0.4886 0.4886 0.0000  8 Si 2.57-2.80, 4 Fe 2.76-2.80
Si 0.7487 0.2487 0.5000  4 Fe 2.55, 2 Si 2.65, 4 Ta 2.76-2.80
Si 0.0278 0.0278 0.0000  2 Fe 2.47, 4 Ta 2.57, 2 Si 2.65
Fe 0.2350 0.7350 0.5000  6 Si 2.47-2.55, 2 Ta 2.76

Calculated values
DOS at the Fermi energy: 0.62 states/eV per atom
volume: 13.74 A^3/atom
raw formation energy: -0.22 eV/atom

=====

No. 2
# Ta2FeSi

Crystalline Ta2FeSi at its relaxed geometry (PBE, Alexandria).

a = 8.6688 Å, b = 8.6688 Å, c = 8.6688 Å
α = 19.36°, β = 19.36°, γ = 19.36°
Last column: nearest neighbours and their distance in Å.
Fractional coordinates of all 4 atoms:
Ta 0.9982 0.9982 0.9982  3 Fe 2.67, 3 Si 2.75, 6 Ta 2.91
Fe 0.2500 0.2500 0.2500  6 Ta 2.67, 6 Fe 2.91
Si 0.7500 0.7500 0.7500  6 Ta 2.75, 6 Si 2.91
Ta 0.5018 0.5018 0.5018  3 Fe 2.67, 3 Si 2.75, 6 Ta 2.91

Calculated values
DOS at the Fermi energy: 1.11 states/eV per atom
volume: 15.64 A^3/atom
raw formation energy: 0.12 eV/atom

=====

No. 3
# TaFeSi2

Crystalline TaFeSi2 at its relaxed geometry (PBE, Alexandria).

a = 8.1249 Å, b = 8.1249 Å, c = 8.1249 Å
α = 20.33°, β = 20.33°, γ = 20.33°
Last column: nearest neighbours and their distance in Å.
Fractional coordinates of all 4 atoms:
Si 0.2530 0.2530 0.2530  9 Si 2.65-2.87, 3 Ta 2.69
Si 0.0065 0.0065 0.0065  3 Fe 2.35
Ta 0.4977 0.4977 0.4977  3 Fe 2.68, 3 Si 2.69, 6 Ta 2.87
Fe 0.7429 0.7429 0.7429  3 Si 2.35

Calculated values
DOS at the Fermi energy: 0.36 states/eV per atom
volume: 14.16 A^3/atom
raw formation energy: 0.00 eV/atom

=====

No. 4
# TaFeSi2

Crystalline TaFeSi2 at its relaxed geometry (PBE, Alexandria).

a = 2.8487 Å, b = 2.8487 Å, c = 6.4202 Å
α = 90.00°, β = 90.00°, γ = 90.00°
Last column: nearest neighbours and their distance in Å.
Fractional coordinates of all 4 atoms:
Si 0.0000 0.0000 0.5455  4 Fe 2.40, 1 Si 2.63
Ta 0.5000 0.5000 0.2500  8 Si 2.77, 4 Ta 2.85
Fe 0.5000 0.5000 0.7500  8 Si 2.40
Si 0.0000 0.0000 0.9545  4 Fe 2.40, 1 Si 2.63

Calculated values
DOS at the Fermi energy: 0.47 states/eV per atom
volume: 13.03 A^3/atom
raw formation energy: -0.30 eV/atom

=====

No. 5
# TaFeSi2

Crystalline TaFeSi2 at its relaxed geometry (PBE, Alexandria).

a = 4.6848 Å, b = 4.6848 Å, c = 2.7809 Å
α = 82.17°, β = 82.17°, γ = 107.85°
Last column: nearest neighbours and their distance in Å.
Fractional coordinates of all 4 atoms:
Ta 0.5000 0.0000 0.5000  4 Si 2.56, 2 Fe 2.76, 2 Ta 2.78
Si 0.5000 0.5000 0.0000  2 Ta 2.56, 2 Fe 2.56, 4 Si 2.76-2.78
Si 0.0000 0.0000 0.0000  2 Fe 2.56, 2 Ta 2.56, 4 Si 2.76-2.78
Fe 0.0000 0.5000 0.5000  4 Si 2.56, 2 Ta 2.76, 2 Fe 2.78

Calculated values
DOS at the Fermi energy: 0.71 states/eV per atom
volume: 14.13 A^3/atom
raw formation energy: -0.08 eV/atom

=====

No. 6
# TaFe4Si

Crystalline TaFe4Si at its relaxed geometry (PBE, Alexandria).

a = 4.7898 Å, b = 4.7898 Å, c = 7.5015 Å
α = 90.00°, β = 90.00°, γ = 120.00°
Last column: nearest neighbours and their distance in Å.
Fractional coordinates of all 12 atoms:
Fe 0.6593 0.8296 0.7441  6 Fe 2.31-2.45
Ta 0.6667 0.3333 0.9198  12 Fe 2.73-2.86, 1 Si 2.74, 3 Ta 3.02
Si 0.6667 0.3333 0.5545  12 Fe 2.62-2.80, 1 Ta 2.74, 3 Si 2.88
Fe 0.1704 0.3407 0.7441  6 Fe 2.31-2.45
Fe 0.1704 0.8296 0.7441  6 Fe 2.31-2.45
Si 0.3333 0.6667 0.4455  12 Fe 2.62-2.80, 1 Ta 2.74, 3 Si 2.88
Ta 0.3333 0.6667 0.0802  12 Fe 2.73-2.86, 1 Si 2.74, 3 Ta 3.02
Fe 0.3407 0.1704 0.2559  6 Fe 2.31-2.45
Fe 0.0000 0.0000 0.5000  6 Fe 2.31
Fe 0.0000 0.0000 0.0000  6 Fe 2.38
Fe 0.8296 0.6593 0.2559  6 Fe 2.31-2.45
Fe 0.8296 0.1704 0.2559  6 Fe 2.31-2.45

Calculated values
DOS at the Fermi energy: 0.89 states/eV per atom
volume: 12.42 A^3/atom
raw formation energy: -0.10 eV/atom

=====

No. 7
# Ta2FeSi

Crystalline Ta2FeSi at its relaxed geometry (PBE, Alexandria).

a = 5.1581 Å, b = 5.1581 Å, c = 5.1581 Å
α = 138.51°, β = 138.51°, γ = 60.13°
Last column: nearest neighbours and their distance in Å.
Fractional coordinates of all 4 atoms:
Si 0.7500 0.2500 0.5000  8 Ta 2.58-2.88, 4 Fe 2.88
Fe 0.5000 0.5000 0.0000  8 Ta 2.58-2.88, 4 Si 2.88
Ta 0.2500 0.7500 0.5000  4 Si 2.58, 4 Ta 2.88, 4 Fe 2.88
Ta 0.0000 0.0000 0.0000  4 Fe 2.58, 4 Si 2.88, 4 Ta 2.88

Calculated values
DOS at the Fermi energy: 0.78 states/eV per atom
volume: 14.90 A^3/atom
raw formation energy: -0.17 eV/atom

=====

No. 8
# Ta2FeSi

Crystalline Ta2FeSi at its relaxed geometry (PBE, Alexandria).

a = 8.6951 Å, b = 8.6951 Å, c = 8.6951 Å
α = 19.12°, β = 19.12°, γ = 19.12°
Last column: nearest neighbours and their distance in Å.
Fractional coordinates of all 4 atoms:
Fe 0.4930 0.4930 0.4930  3 Si 2.38, 3 Ta 2.67
Si 0.7597 0.7597 0.7597  3 Fe 2.38
Ta 0.0063 0.0063 0.0063  3 Si 2.78, 9 Ta 2.89-3.03
Ta 0.2410 0.2410 0.2410  3 Fe 2.67, 6 Ta 2.89

Calculated values
DOS at the Fermi energy: 1.26 states/eV per atom
volume: 15.40 A^3/atom
raw formation energy: 0.09 eV/atom